1.
First-principles (PBE) data for ZrScAl2 after structural relaxation, as listed in Alexandria via LeMat-Bulk. Values from VASP.

Results
The formation energy from the elements comes out at -1.63 eV per formula unit. As for the space group: Imm2, No. 44. As for the energy above the lowest structure with this stoichiometry: 31 meV per atom.

```
&SYSTEM
  ibrav = 0, nat = 4, ntyp = 3
/
ATOMIC_SPECIES
Al 26.98 Al.upf
Sc 44.96 Sc.upf
Zr 91.22 Zr.upf
ATOMIC_POSITIONS crystal
Al 0.019 0.019 0.981
Al 0.731 0.731 0.769
Sc 0.493 0.493 0.506
Zr 0.257 0.257 0.244
CELL_PARAMETERS angstrom
5.678 -0.034 -0.010
4.604 3.324 -0.010
1.845 0.590 4.134
```

2.
First-principles (PBE) data for LiGaSi after structural relaxation, as listed in Alexandria via LeMat-Bulk. Values from VASP.

Results
The formation energy from raw total energies is -0.09 eV/atom. As for the space group: Cmmm, No. 65.

```
&SYSTEM
  ibrav = 0, nat = 6, ntyp = 3
/
ATOMIC_SPECIES
Li 6.94 Li.upf
Si 28.09 Si.upf
Ga 69.72 Ga.upf
ATOMIC_POSITIONS crystal
Li 0.000 0.000 0.757
Li 0.000 0.000 0.243
Si 0.335 0.665 0.000
Si 0.665 0.335 0.000
Ga 0.656 0.344 0.500
Ga 0.344 0.656 0.500
CELL_PARAMETERS angstrom
1.378 -6.133 0.000
1.378 6.133 0.000
0.000 0.000 5.505
```

3.
First-principles (PBE) data for Zr2NiTe after structural relaxation, as listed in Alexandria via LeMat-Bulk. Values from VASP.

Results
The formation energy from raw total energies is -0.33 eV/atom. As for the space group: I4/mmm, No. 139.

```
&SYSTEM
  ibrav = 0, nat = 4, ntyp = 3
/
ATOMIC_SPECIES
Zr 91.22 Zr.upf
Ni 58.69 Ni.upf
Te 127.60 Te.upf
ATOMIC_POSITIONS crystal
Zr 0.500 0.500 0.000
Zr 0.000 0.000 0.000
Ni 0.250 0.750 0.500
Te 0.750 0.250 0.500
CELL_PARAMETERS angstrom
-3.173 2.883 -2.761
-4.276 -2.747 -0.417
2.640 1.227 4.187
```

4.
First-principles (PBE) data for LaHg2Au2 after structural relaxation, as listed in Alexandria via LeMat-Bulk. Values from VASP.

Results
The formation energy from the elements comes out at -1.52 eV per formula unit. As for the space group: P4/mbm, No. 127. As for the energy above the lowest structure with this stoichiometry: 168 meV per atom.

```
&SYSTEM
  ibrav = 0, nat = 10, ntyp = 3
/
ATOMIC_SPECIES
Au 196.97 Au.upf
La 138.91 La.upf
Hg 200.59 Hg.upf
ATOMIC_POSITIONS crystal
Au 0.874 0.626 0.000
Au 0.626 0.126 0.000
Au 0.374 0.874 0.000
Au 0.126 0.374 0.000
La 0.500 0.500 0.000
La 0.000 0.000 0.000
Hg 0.170 0.670 0.500
Hg 0.830 0.330 0.500
Hg 0.330 0.170 0.500
Hg 0.670 0.830 0.500
CELL_PARAMETERS angstrom
7.838 0.000 0.000
0.000 7.838 0.000
0.000 0.000 4.049
```

5.
First-principles (PBE) data for Ac3SbP2Pd9 after structural relaxation, as listed in Alexandria via LeMat-Bulk. Values from VASP.

Results
The formation energy from raw total energies is -0.76 eV/atom. As for the space group: P-3m1, No. 164.

```
&SYSTEM
  ibrav = 0, nat = 15, ntyp = 4
/
ATOMIC_SPECIES
Pd 106.42 Pd.upf
P 30.97 P.upf
Sb 121.76 Sb.upf
Ac 227.00 Ac.upf
ATOMIC_POSITIONS crystal
Pd 0.373 0.187 0.672
Pd 0.187 0.373 0.328
Pd 0.500 0.500 0.000
Pd 0.627 0.813 0.328
Pd 0.500 0.000 0.000
Pd 0.187 0.813 0.328
Pd 0.000 0.500 0.000
Pd 0.813 0.187 0.672
Pd 0.813 0.627 0.672
P 0.333 0.667 0.135
P 0.667 0.333 0.865
Sb 0.000 0.000 0.500
Ac 0.000 0.000 0.000
Ac 0.667 0.333 0.328
Ac 0.333 0.667 0.672
CELL_PARAMETERS angstrom
-6.886 1.434 -1.501
3.007 -6.084 -2.380
-2.070 -3.449 6.200
```

6.
First-principles (PBE) data for K4Na3Hg2 after structural relaxation, as listed in Alexandria via LeMat-Bulk. Values from VASP.

Results
The formation energy from the elements comes out at -1.08 eV per formula unit. As for the space group: C2/m, No. 12.

```
&SYSTEM
  ibrav = 0, nat = 9, ntyp = 3
/
ATOMIC_SPECIES
K 39.10 K.upf
Na 22.99 Na.upf
Hg 200.59 Hg.upf
ATOMIC_POSITIONS crystal
K 0.767 0.326 0.535
K 0.233 0.674 0.465
K 0.409 0.144 0.818
K 0.591 0.856 0.182
Na 0.087 0.209 0.173
Na 0.000 0.500 0.000
Na 0.913 0.791 0.827
Hg 0.401 0.555 0.803
Hg 0.599 0.445 0.197
CELL_PARAMETERS angstrom
4.745 0.000 -1.308
-0.802 8.744 -2.907
0.167 -0.344 9.867
```

7.
First-principles (PBE) data for Sc2CoC2 after structural relaxation, as listed in Alexandria via LeMat-Bulk. Values from VASP.

Results
The formation energy from the elements comes out at -1.62 eV per formula unit. As for the space group: P4/mbm, No. 127. As for the energy above the lowest structure with this stoichiometry: 4 meV per atom.

```
&SYSTEM
  ibrav = 0, nat = 10, ntyp = 3
/
ATOMIC_SPECIES
Sc 44.96 Sc.upf
C 12.01 C.upf
Co 58.93 Co.upf
ATOMIC_POSITIONS crystal
Sc 0.186 0.686 0.500
Sc 0.314 0.186 0.500
Sc 0.814 0.314 0.500
Sc 0.686 0.814 0.500
C 0.593 0.093 0.000
C 0.407 0.907 0.000
C 0.907 0.593 0.000
C 0.093 0.407 0.000
Co 0.500 0.500 0.000
Co 0.000 0.000 0.000
CELL_PARAMETERS angstrom
5.797 0.000 0.000
0.000 5.797 0.000
0.000 0.000 3.331
```

8.
First-principles (PBE) data for TbCdNiPd after structural relaxation, as listed in Alexandria via LeMat-Bulk. Values from VASP.

Results
The formation energy from the elements comes out at -1.86 eV per formula unit. As for the space group: F-43m, No. 216.

```
&SYSTEM
  ibrav = 0, nat = 4, ntyp = 4
/
ATOMIC_SPECIES
Ni 58.69 Ni.upf
Cd 112.41 Cd.upf
Pd 106.42 Pd.upf
Tb 158.93 Tb.upf
ATOMIC_POSITIONS crystal
Ni 0.000 0.000 0.000
Cd 0.750 0.750 0.750
Pd 0.500 0.500 0.500
Tb 0.250 0.250 0.250
CELL_PARAMETERS angstrom
4.723 0.000 0.000
2.362 4.090 0.000
2.362 1.363 3.857
```

9.
First-principles (PBE) data for Y2AlPd2 after structural relaxation, as listed in Alexandria via LeMat-Bulk. Values from VASP.

Results
The formation energy from the elements comes out at -2.96 eV per formula unit. As for the space group: I4/mmm, No. 139.

```
&SYSTEM
  ibrav = 0, nat = 5, ntyp = 3
/
ATOMIC_SPECIES
Y 88.91 Y.upf
Pd 106.42 Pd.upf
Al 26.98 Al.upf
ATOMIC_POSITIONS crystal
Y 0.750 0.250 0.500
Y 0.250 0.750 0.500
Pd 0.668 0.668 0.664
Pd 0.332 0.332 0.336
Al 0.000 0.000 0.000
CELL_PARAMETERS angstrom
5.523 0.000 0.000
0.000 5.523 0.000
2.762 2.762 3.837
```

10.
First-principles (PBE) data for Sr2Pa3N6 after structural relaxation, as listed in Alexandria via LeMat-Bulk. Values from VASP.

Results
The formation energy from raw total energies is -1.40 eV/atom. As for the space group: C2/m, No. 12.

```
&SYSTEM
  ibrav = 0, nat = 11, ntyp = 3
/
ATOMIC_SPECIES
N 14.01 N.upf
Pa 231.04 Pa.upf
Sr 87.62 Sr.upf
ATOMIC_POSITIONS crystal
N 0.256 0.000 0.177
N 0.606 0.353 0.183
N 0.744 0.000 0.823
N 0.394 0.647 0.817
N 0.959 0.647 0.183
N 0.041 0.353 0.817
Pa 0.000 0.000 0.000
Pa 0.666 0.669 0.000
Pa 0.334 0.331 0.000
Sr 0.832 0.336 0.500
Sr 0.168 0.664 0.500
CELL_PARAMETERS angstrom
5.982 0.000 1.768
2.991 5.393 0.884
0.263 0.000 6.357
```

11.
First-principles (PBE) data for Ta2GaIrI after structural relaxation, as listed in Alexandria via LeMat-Bulk. Values from VASP.

Results
The formation energy from raw total energies is 1.42 eV/atom. As for the space group: P4/mmm, No. 123.

```
&SYSTEM
  ibrav = 0, nat = 5, ntyp = 4
/
ATOMIC_SPECIES
Ir 192.22 Ir.upf
I 126.90 I.upf
Ta 180.95 Ta.upf
Ga 69.72 Ga.upf
ATOMIC_POSITIONS crystal
Ir 0.000 0.500 0.000
I 0.500 0.500 0.500
Ta 0.000 0.000 0.500
Ta 0.500 0.000 0.000
Ga 0.000 0.000 0.000
CELL_PARAMETERS angstrom
-3.833 2.961 -0.751
-2.819 -3.489 0.633
-0.165 1.003 4.795
```

12.
First-principles (PBE) data for TbRe2 after structural relaxation, as listed in Alexandria via LeMat-Bulk. Values from VASP.

Results
The formation energy from the elements comes out at -0.58 eV per formula unit. As for the space group: P6_3/mmc, No. 194.

```
&SYSTEM
  ibrav = 0, nat = 12, ntyp = 2
/
ATOMIC_SPECIES
Re 186.21 Re.upf
Tb 158.93 Tb.upf
ATOMIC_POSITIONS crystal
Re 0.000 0.000 0.000
Re 0.829 0.171 0.250
Re 0.171 0.829 0.750
Re 0.342 0.171 0.250
Re 0.171 0.342 0.750
Re 0.658 0.829 0.750
Re 0.000 0.000 0.500
Re 0.829 0.658 0.250
Tb 0.667 0.333 0.938
Tb 0.667 0.333 0.562
Tb 0.333 0.667 0.438
Tb 0.333 0.667 0.062
CELL_PARAMETERS angstrom
-1.496 -1.674 4.941
-2.899 -1.456 -4.351
5.026 -7.233 -0.928
```